No. 1
8
Lattice="-1.9912 3.5347 4.8593 1.9912 -3.5347 4.8593 1.9912 3.5347 -4.8593" Properties=species:S:1:pos:R:3 comment="ThSi2Pd5 GGA-PBE relaxed" mass_density_g_cm3=9.957 energy_ev_per_atom=-6.298 pbc="T T T"
Th 0.0000 0.0000 0.0000
Si 1.9912 0.0000 2.4793
Si 0.0000 3.5347 2.3799
Pd 1.9912 2.1355 -1.4574
Pd 1.9912 2.1355 1.4574
Pd 0.0000 3.5347 0.0000
Pd 0.0000 1.3992 3.4019
Pd 0.0000 1.3992 6.3166



No. 2
16
Lattice="4.0999 2.3671 6.8055 -4.0999 2.3671 6.8055 0.0000 -4.7341 6.8055" Properties=species:S:1:pos:R:3 comment="Sm4Y3TmSe8 GGA-PBE relaxed" mass_density_g_cm3=6.993 energy_ev_per_atom=-6.190 pbc="T T T"
Sm 0.0000 0.0000 0.0000
Sm -2.0499 -1.1835 6.8055
Sm -2.0499 1.1835 13.6109
Sm 0.0000 2.3670 6.8054
Y -4.0998 0.0000 10.2082
Y -2.0499 1.1835 3.4027
Y 2.0499 1.1835 3.4027
Tm 0.0000 0.0000 10.2082
Se 0.0000 0.0000 5.0456
Se -2.0283 -1.1710 11.8341
Se 0.0000 -2.3421 8.5823
Se -2.0283 1.1711 8.5823
Se 2.0283 -1.1711 11.8341
Se 0.0000 2.3421 11.8341
Se 2.0283 1.1711 8.5823
Se 0.0000 0.0000 15.3707